No. 1
The following is a DFT calculation (GGA-PBE) of a relaxed structure of Ce2AgTe.

The calculation puts the uncorrected formation energy at -0.56 eV/atom. The excess energy over the best structure of this formula in the dataset is 0.0397 eV per atom. The total energy comes out at -5.024 eV per atom.

It has space group R-3m (No. 166, hexagonal axes), with a = 4.3344 Å, b = 4.3344 Å, c = 22.7889 Å, α = 90.00°, β = 90.00° and γ = 120.00°. Symmetry generates all atoms from Ce at (0.0000, 0.0000, 0.2478), Ag at (0.0000, 0.0000, 0.5000) and Te at (0.0000, 0.0000, 0.0000).



No. 2
The following is a DFT calculation (GGA-PBE) of a relaxed structure of SrReAg2.

The excess energy over the best structure of this formula in the dataset is 0.0367 eV per atom. The total energy comes out at -4.249 eV per atom. For the energy of formation from the pure elements, the calculation gives 0.71 eV/atom.

It has space group C2/m (No. 12), with a = 10.123 Å, b = 2.833 Å, c = 5.864 Å, α = 90.00°, β = 97.42° and γ = 90.00°. Symmetry generates all atoms from Sr at (0.000, 0.000, 0.000), Re at (0.000, 0.500, 0.500) and Ag at (0.236, 0.000, 0.703).